Record 1
This record from the Open Quantum Materials Database describes a geometry-optimized LiCuReTeSe2 structure. The functional is PBE.

```
12
Lattice="1.7265 -6.6707 0.0000 1.7265 6.6707 0.0000 0.0000 0.0000 9.8010" Properties=species:S:1:pos:R:3 pbc="T T T"
Te 1.7265 5.2624 7.3507
Te 1.7265 -5.2624 2.4502
Li 1.7265 3.9340 2.4502
Li 1.7265 -3.9340 7.3507
Se 1.7265 -1.8430 0.4783
Se 1.7265 1.8430 9.3227
Se 1.7265 1.8430 5.3788
Se 1.7265 -1.8430 4.4222
Re 0.0000 0.0000 4.9005
Re 0.0000 0.0000 0.0000
Cu 1.7265 0.5445 7.3507
Cu 1.7265 -0.5445 2.4502
```

Calculated values
The calculation puts the mass density at 7.977 g cm⁻³. Its size of the total moment is 0.0 Bohr magnetons per cell. As for the total energy: -58.33 eV/cell.

=====

Record 2
This record from the Open Quantum Materials Database describes a geometry-optimized Hf2AgPd2 structure. The functional is PBE.

```
5
Lattice="2.0596 -4.1528 5.4470 2.3899 1.1036 6.6505 -4.7637 1.4733 -5.1279" Properties=species:S:1:pos:R:3 pbc="T T T"
Pd -0.0745 0.5261 3.7857
Pd -0.2396 -2.1021 3.1839
Ag 0.0000 0.0000 0.0000
Hf 2.7072 -1.8553 7.3604
Hf 1.7423 -1.1940 4.7371
```

Calculated values
Its excess energy over the best structure of this formula in the dataset is 76.3 meV per atom. The calculation puts the mass density at 11.643 g cm⁻³. Its size of the total moment is 0.5 Bohr magnetons per cell. The calculation puts the formation energy at -102.2 meV/atom. As for the total energy: -33.60 eV/cell.

=====

Record 3
This record from the Open Quantum Materials Database describes a geometry-optimized HoTm2In3Pt2 structure. The functional is PBE.

```
8
Lattice="-0.6509 0.6760 -3.4667 -7.3394 1.4984 1.6703 5.2049 5.6388 0.1223" Properties=species:S:1:pos:R:3 pbc="T T T"
Ho -1.2358 4.1321 1.0378
Pt 0.7138 4.5981 -1.0977
Pt -3.4972 3.2082 -0.5781
In -5.9662 1.4954 -0.4485
In -0.8170 1.9816 -1.3205
In 3.6717 4.6765 -1.6378
Tm -3.0945 0.6318 0.7042
Tm 2.1945 2.3775 0.0516
```

Calculated values
The calculation puts the mass density at 11.228 g cm⁻³. Its size of the total moment is 0.0 Bohr magnetons per cell. As for the total energy: -40.98 eV/cell.

=====

Record 4
This record from the Open Quantum Materials Database describes a geometry-optimized Li4AlSnPt2 structure. The functional is PBE.

```
8
Lattice="4.3509 0.0000 0.0000 0.0000 4.3509 0.0000 0.0000 0.0000 6.2330" Properties=species:S:1:pos:R:3 pbc="T T T"
Al 0.0000 0.0000 0.0000
Li 0.0000 2.1755 1.4489
Li 2.1755 2.1755 0.0000
Li 2.1755 0.0000 4.7840
Li 0.0000 0.0000 3.1165
Sn 2.1755 2.1755 3.1165
Pt 0.0000 2.1755 4.7938
Pt 2.1755 0.0000 1.4392
```

Calculated values
The calculation puts the mass density at 7.932 g cm⁻³. Its size of the total moment is 0.0 Bohr magnetons per cell. As for the total energy: -32.91 eV/cell.